# 1
A plane-wave DFT calculation with PBE-GGA was carried out for a geometry-optimized Dy4CdRh structure.

```
Dy4CdRh
1.0
9.6062 0.0000 0.0000
4.8031 8.3192 0.0000
4.8031 2.7731 7.8434
Rh Dy Cd
4 16 4
Direct
0.9276 0.3575 0.3575
0.3575 0.3575 0.9276
0.3575 0.9276 0.3575
0.3575 0.3575 0.3575
0.5637 0.5637 0.9363
0.6892 0.6892 0.3108
0.1502 0.5493 0.1502
0.1502 0.1502 0.1502
0.6892 0.3108 0.3108
0.9363 0.9363 0.5637
0.6892 0.3108 0.6892
0.3108 0.6892 0.3108
0.3108 0.6892 0.6892
0.5493 0.1502 0.1502
0.9363 0.5637 0.9363
0.5637 0.9363 0.5637
0.9363 0.5637 0.5637
0.1502 0.1502 0.5493
0.3108 0.3108 0.6892
0.5637 0.9363 0.9363
0.9189 0.9189 0.9189
0.9189 0.2433 0.9189
0.2433 0.9189 0.9189
0.9189 0.9189 0.2433
```

Calculated values
The uncorrected energy is -4.94 eV per atom. The formation energy is -0.50 eV per atom. As for the distance to the lowest polymorph of the same formula: 0 meV per atom. The calculation puts the total magnetization at 0.0 μB per cell. As for the space group: F-43m. The value obtained for the density is 9.17 g/cm³.

# 2
A plane-wave DFT calculation with PBE-GGA was carried out for a geometry-optimized DyCd4Rh structure.

```
DyCd4Rh
1.0
-4.7511 -2.3020 1.9007
0.0004 -2.8471 4.8351
-2.5444 2.1437 4.5183
Cd Rh Dy
4 1 1
Direct
0.1227 0.6258 0.6258
0.6258 0.1227 0.6258
0.6258 0.6258 0.6258
0.6258 0.6258 0.1227
0.0000 0.0000 0.0000
0.2500 0.2500 0.2500
```

Calculated values
The uncorrected energy is -2.76 eV per atom. The formation energy is -0.16 eV per atom. As for the distance to the lowest polymorph of the same formula: 128 meV per atom. The calculation puts the total magnetization at 0.0 μB per cell. As for the space group: F-43m. The value obtained for the density is 9.51 g/cm³.

# 3
A plane-wave DFT calculation with PBE-GGA was carried out for a geometry-optimized Dy5CdRh4 structure.

```
Dy5CdRh4
1.0
3.4659 0.0000 0.0000
0.0000 3.4659 0.0000
0.0000 0.0000 17.7562
Rh Dy Cd
4 5 1
Direct
0.0000 0.0000 0.2117
0.0000 0.0000 0.5954
0.0000 0.0000 0.7883
0.0000 0.0000 0.4046
0.5000 0.5000 0.1213
0.5000 0.5000 0.5000
0.5000 0.5000 0.8787
0.5000 0.5000 0.6904
0.5000 0.5000 0.3096
0.0000 0.0000 0.0000
```

Calculated values
The uncorrected energy is -6.10 eV per atom. The formation energy is -0.77 eV per atom. The calculation puts the total magnetization at 0.0 μB per cell. As for the space group: P4/mmm. The value obtained for the density is 10.41 g/cm³.

# 4
A plane-wave DFT calculation with PBE-GGA was carried out for a geometry-optimized Dy3CdRh4 structure.

```
Dy3CdRh4
1.0
-2.1981 -3.5605 2.2908
2.4050 -2.6523 3.1524
-1.9580 2.8263 7.4810
Cd Rh Dy
1 4 3
Direct
0.0000 0.0000 0.0000
0.1253 0.1253 0.6241
0.8747 0.8747 0.3759
0.6221 0.6221 0.1336
0.3779 0.3779 0.8664
0.5000 0.5000 0.5000
0.2563 0.2563 0.2311
0.7437 0.7437 0.7689
```

Calculated values
The uncorrected energy is -6.27 eV per atom. The formation energy is -0.75 eV per atom. The calculation puts the total magnetization at 0.0 μB per cell. As for the space group: R-3m. The value obtained for the density is 10.98 g/cm³.